VASP calculation (PBE) on AcLu2Sn after structural relaxation.

Values from the calculation:
Energy (eV/atom): -4.37
Theoretical density (g cm⁻³): 9.88
Total magnetization (μB/cell): 2.5
Crystal system: cubic
Calculated volume (Å³/cell): 468

Lattice parameters (Å, degrees): 7.7621 7.7621 7.7621 90.00 90.00 90.00
Last column: nearest neighbours and their distance in Å.
Space group Fm-3m (No. 225)
One atom of each set of equivalent atoms:
Ac  0.0000  0.0000  0.0000 [4 per cell]  8 Lu 3.36
Lu  0.2500  0.2500  0.2500 [8 per cell]  4 Ac 3.36, 4 Sn 3.36
Sn  0.0000  0.0000  0.5000 [4 per cell]  8 Lu 3.36